An optimized crystal structure of LaTcPt. Source: Alexandria via LeMat-Bulk, functional PBE-GGA.

Cell and atoms, written as CIF:
```
data_LaTcPt
_chemical_formula_sum 'La4 Tc4 Pt4'
_cell_length_a 6.449
_cell_length_b 6.449
_cell_length_c 6.449
_cell_angle_alpha 90.00
_cell_angle_beta 90.00
_cell_angle_gamma 90.00
_space_group_name_H-M_alt 'F -4 3 m'
_space_group_IT_number 216
_space_group_name_Hall 'F -4 2 3'
loop_
_atom_site_label
_atom_site_type_symbol
_atom_site_fract_x
_atom_site_fract_y
_atom_site_fract_z
La1 La 0.000 0.000 0.000
Tc1 Tc 0.250 0.250 0.250
Pt1 Pt 0.000 0.000 0.500
```

Summary:
- formation energy from the elements (eV per atom) = 0.1382
- M_tot (μB/f.u.) = 0.00
- E above lowest polymorph (meV per atom) = 407.8
- volume (Å³ per atom) = 22.3